No. 1
Density functional theory data (GGA-PBE) for a relaxed structure of Sc3MoW.

Values from the calculation:
* total magnetization: 3.469 μB per formula unit
* formation energy from the elements: 1.16 eV/atom
* mass density: 5.5 g/cm3
* ΔE to the lowest computed polymorph: 0 meV/atom

a = 5.0166 Å, b = 5.0166 Å, c = 5.0166 Å
α = 90.00°, β = 90.00°, γ = 90.00°
Element x y z (fractional)
Sc 0.0000 0.0000 0.5000
Sc 0.0000 0.5000 0.0000
Sc 0.5000 0.0000 0.0000
Mo 0.5000 0.5000 0.5000
W 0.0000 0.0000 0.0000


No. 2
Density functional theory data (GGA-PBE) for a relaxed structure of ScMoW.

Values from the calculation:
* total magnetization: 0.000 μB per formula unit
* formation energy from the elements: 0.17 eV/atom
* mass density: 10.3 g/cm3
* ΔE to the lowest computed polymorph: 160 meV/atom

a = 3.2591 Å, b = 4.6340 Å, c = 13.8893 Å
α = 90.00°, β = 90.00°, γ = 90.00°
Element x y z (fractional)
Sc 0.0000 0.0000 0.0000
Sc 0.0000 0.5000 0.5000
Sc 0.5000 0.0000 0.5000
Sc 0.5000 0.5000 0.0000
Mo 0.0000 0.0000 0.3268
Mo 0.0000 0.5000 0.8268
Mo 0.5000 0.0000 0.8268
Mo 0.5000 0.5000 0.3268
W 0.0000 0.0000 0.6750
W 0.0000 0.5000 0.1750
W 0.5000 0.0000 0.1750
W 0.5000 0.5000 0.6750


No. 3
Density functional theory data (GGA-PBE) for a relaxed structure of ScMo2W.

Values from the calculation:
* total magnetization: 0.000 μB per formula unit
* formation energy from the elements: 0.10 eV/atom
* mass density: 10.2 g/cm3
* ΔE to the lowest computed polymorph: 31 meV/atom

a = 3.1889 Å, b = 3.1889 Å, c = 6.7438 Å
α = 90.00°, β = 90.00°, γ = 90.00°
Element x y z (fractional)
Sc 0.0000 0.0000 0.0000
Mo 0.5000 0.5000 0.2744
Mo 0.5000 0.5000 0.7256
W 0.0000 0.0000 0.5000